(1)
MgHg2Pd9: optimized geometry, GGA-PBE.

Properties
ΔH_f (0 K) ... -0.219 eV/atom
Size of the total moment ... 0.0 Bohr magnetons per cell
V ... 16.306 A^3/atom
Crystal system ... tetragonal

a = 4.010 Å, b = 4.010 Å, c = 12.169 Å
α = 90.00°, β = 90.00°, γ = 90.00°
Space group P4/mmm (No. 123)
Unique sites:
Mg: 0.000 0.000 0.000 [1 per cell]
Hg: 0.000 0.000 0.331 [2 per cell]
Pd: 0.000 0.500 0.160 [4 per cell]
Pd: 0.000 0.500 0.500 [2 per cell]
Pd: 0.500 0.500 0.000 [1 per cell]
Pd: 0.500 0.500 0.329 [2 per cell]

(2)
SmAl4Cu2Pt: optimized geometry, GGA-PBE.

Properties
ΔH_f (0 K) ... -0.506 eV/atom
Size of the total moment ... 0.0 Bohr magnetons per cell
V ... 17.252 A^3/atom
Crystal system ... trigonal

a = 4.2167 Å, b = 4.2167 Å, c = 26.8903 Å
α = 90.00°, β = 90.00°, γ = 120.00°
Space group R-3m (No. 166, hexagonal axes)
Unique sites:
Sm: 0.0000 0.0000 0.0000 [3 per cell]
Al: 0.0000 0.0000 0.1297 [6 per cell]
Al: 0.0000 0.0000 0.4045 [6 per cell]
Cu: 0.0000 0.0000 0.2447 [6 per cell]
Pt: 0.0000 0.0000 0.5000 [3 per cell]

(3)
Ca2AlCo: optimized geometry, GGA-PBE.

Properties
ΔH_f (0 K) ... 0.128 eV/atom
Size of the total moment ... 0.0 Bohr magnetons per cell
V ... 29.427 A^3/atom
Crystal system ... tetragonal

a = 10.114 Å, b = 10.114 Å, c = 4.603 Å
α = 90.00°, β = 90.00°, γ = 90.00°
Space group I-42d (No. 122)
Unique sites:
Ca: 0.082 0.250 0.125 [8 per cell]
Al: 0.000 0.000 0.500 [4 per cell]
Co: 0.000 0.000 0.000 [4 per cell]

(4)
GdAlAu: optimized geometry, GGA-PBE.

Properties
ΔH_f (0 K) ... 0.096 eV/atom
Size of the total moment ... 15.2 Bohr magnetons per cell
V ... 24.210 A^3/atom
Crystal system ... tetragonal

a = 3.084 Å, b = 3.084 Å, c = 15.273 Å
α = 90.00°, β = 90.00°, γ = 90.00°
Space group I4mm (No. 107)
Unique sites:
Gd: 0.000 0.000 0.000 [2 per cell]
Al: 0.000 0.000 0.641 [2 per cell]
Au: 0.000 0.000 0.808 [2 per cell]

(5)
CaSmHoCd: optimized geometry, GGA-PBE.

Properties
ΔH_f (0 K) ... -0.013 eV/atom
Size of the total moment ... 0.0 Bohr magnetons per cell
V ... 29.997 A^3/atom
Crystal system ... cubic

a = 7.829 Å, b = 7.829 Å, c = 7.829 Å
α = 90.00°, β = 90.00°, γ = 90.00°
Space group F-43m (No. 216)
Unique sites:
Ca: 0.000 0.000 0.000 [4 per cell]
Sm: 0.250 0.250 0.750 [4 per cell]
Ho: 0.250 0.250 0.250 [4 per cell]
Cd: 0.000 0.000 0.500 [4 per cell]

(6)
Be2CoBr: optimized geometry, GGA-PBE.

Properties
Formation energy (no corrections) ... 0.219 eV/atom
Size of the total moment ... 0.0 Bohr magnetons per cell
V ... 15.614 A^3/atom
Crystal system ... monoclinic

a = 2.844 Å, b = 3.291 Å, c = 6.822 Å
α = 90.00°, β = 101.95°, γ = 90.00°
Space group Pm (No. 6)
Unique sites:
Be: 0.000 0.000 0.000 [1 per cell]
Be: 0.119 0.500 0.240 [1 per cell]
Co: 0.626 0.000 0.253 [1 per cell]
Br: 0.885 0.500 0.767 [1 per cell]

(7)
Fe2Sn2Ge: optimized geometry, GGA-PBE.

Properties
ΔH_f (0 K) ... 0.270 eV/atom
Size of the total moment ... 0.3 Bohr magnetons per cell
V ... 15.738 A^3/atom
Crystal system ... tetragonal

a = 6.359 Å, b = 6.359 Å, c = 3.892 Å
α = 90.00°, β = 90.00°, γ = 90.00°
Space group P4/mbm (No. 127)
Unique sites:
Fe: 0.150 0.350 0.000 [4 per cell]
Sn: 0.160 0.660 0.500 [4 per cell]
Ge: 0.000 0.000 0.000 [2 per cell]

(8)
Zn2CdAu2: optimized geometry, GGA-PBE.

Properties
ΔH_f (0 K) ... -0.164 eV/atom
Size of the total moment ... 0.0 Bohr magnetons per cell
V ... 18.590 A^3/atom
Crystal system ... tetragonal

a = 3.735 Å, b = 3.735 Å, c = 13.329 Å
α = 90.00°, β = 90.00°, γ = 90.00°
Space group I4/mmm (No. 139)
Unique sites:
Zn: 0.000 0.500 0.250 [4 per cell]
Cd: 0.000 0.000 0.000 [2 per cell]
Au: 0.000 0.000 0.394 [4 per cell]